{"formula": "SrTa2Tl", "functional": "PBE-GGA", "state": "relaxed", "total_energy_ev_per_atom": -6.216, "e_above_lowest_polymorph_mev_per_atom": 362, "m_tot_mub_per_fu": 0.0, "delta_e_f_mev_per_atom": 723, "sg": "C2/m, No. 12", "lattice_angstrom": [[5.780, -1.543, 0.000], [5.780, 1.543, 0.000], [-1.272, 0.000, 5.483]], "species": ["Sr", "Ta", "Ta", "Tl"], "fractional_positions": [[0.000, 0.000, 0.000], [0.225, 0.225, 0.689], [0.775, 0.775, 0.311], [0.500, 0.500, 0.500]]}